[1]
DFT (SCAN) results for a PBEsol-optimized structure of Tm5In4.

Cell lengths 9.0376, 9.0376, 6.4282 Å; angles 90.00, 90.00, 120.00 degrees
Fractional positions:
Tm 0.0000 0.2918 0.2500
Tm 0.0000 0.7082 0.7500
Tm 0.2918 0.0000 0.2500
Tm 0.2918 0.2918 0.7500
Tm 0.3333 0.6667 0.0000
Tm 0.3333 0.6667 0.5000
Tm 0.6667 0.3333 0.0000
Tm 0.6667 0.3333 0.5000
Tm 0.7082 0.0000 0.7500
Tm 0.7082 0.7082 0.2500
In 0.0000 0.0000 0.0000
In 0.0000 0.0000 0.5000
In 0.0000 0.3708 0.7500
In 0.0000 0.6292 0.2500
In 0.3708 0.0000 0.7500
In 0.3708 0.3708 0.2500
In 0.6292 0.0000 0.2500
In 0.6292 0.6292 0.7500

Formation enthalpy at 0 K in eV per atom: -0.56
Calculated density in g cm⁻³: 9.5
E in eV/atom: -44.19
Total magnetization in μB per formula unit: 0.0

***

[2]
DFT (SCAN) results for a PBEsol-optimized structure of Al2NCl.

Cell lengths 4.1645, 4.1645, 4.1645 Å; angles 60.00, 60.00, 60.00 degrees
Fractional positions:
Al 0.2500 0.2500 0.2500
Al 0.7500 0.7500 0.7500
N 0.0000 0.0000 0.0000
Cl 0.5000 0.5000 0.5000

Uncorrected formation energy in eV per formula unit: 2.6
Calculated density in g cm⁻³: 3.4
E in eV/atom: -7.53
Total magnetization in μB per formula unit: 0.0

***

[3]
DFT (SCAN) results for a PBEsol-optimized structure of SrCrTeI2.

Cell lengths 6.1031, 6.1031, 6.3006 Å; angles 90.00, 90.00, 90.00 degrees
Fractional positions:
Sr 0.0000 0.0000 0.0000
Cr 0.5000 0.5000 0.5000
Te 0.0000 0.0000 0.5000
I 0.0000 0.5000 0.0000
I 0.5000 0.0000 0.0000

Uncorrected formation energy in eV per formula unit: -1.1
Calculated density in g cm⁻³: 3.7
E in eV/atom: -30.50
Total magnetization in μB per formula unit: 4.0

***

- What is the formula in the third record?
  SrCrTeI2

***

- The highest calculated density belongs to which entry?
  Tm5In4